Below is a geometry-optimized Mn2AgSe structure, with properties calculated at the PBE-GGA level.

Structure (POSCAR):
```
Mn2AgSe
1.0
4.770 -0.004 -0.008
3.729 2.975 -0.008
0.869 0.304 4.802
Ag Mn Se
1 2 1
direct
0.258 0.258 0.216
0.012 0.012 0.981
0.751 0.751 0.719
0.480 0.480 0.584
```

The total magnetic moment comes out at 7.2 μB per formula unit. For the calculated total energy, the calculation gives -5.94 eV/atom. The value obtained for the uncorrected formation energy is 0.231 eV per atom.